The following is a PBE+U calculation of a geometry-optimized Cs2FeSe2O6 structure, from Alexandria via LeMat-Bulk.

extended XYZ file:
```
11
Lattice="5.088 -2.955 0.000 5.088 2.955 0.000 -2.903 0.000 7.069" Properties=species:S:1:pos:R:3 pbc="T T T"
Cs 1.674 0.000 1.176
Cs 5.599 0.000 5.892
Fe -1.452 0.000 3.534
Se 2.070 0.000 5.234
Se 5.203 0.000 1.834
O 0.838 0.000 4.054
O 4.176 1.385 2.114
O 3.097 1.385 4.954
O 4.176 -1.385 2.114
O 3.097 -1.385 4.954
O 6.436 0.000 3.015
```

Raw total energy, eV per cell: -57.227
Space-group type: C2/m (12)
Magnetic moment, μB/f.u.: 3.95